Entry 1:
Entry from Alexandria: a relaxed Tb5Er3 crystal (PBE-GGA).

Computed properties:
- raw total energy (eV for the cell shown) = -36.77
- crystal system = orthorhombic
- M_tot (μB/f.u.) = 0.0
- Fermi-level density of states (states/eV per cell) = 13.12

Cell: 3.6129 5.6108 12.5099 Å, 90.00 90.00 90.00°
Fractional positions:
Tb  0.0000  0.0000  0.0000
Tb  0.0000  0.0000  0.4962
Tb  0.0000  0.5000  0.8317
Tb  0.5000  0.0000  0.7486
Tb  0.5000  0.5000  0.5790
Er  0.0000  0.5000  0.3295
Er  0.5000  0.0000  0.2473
Er  0.5000  0.5000  0.0825

***

Entry 2:
Entry from Alexandria: a relaxed In7Te10 crystal (PBE-GGA).

Computed properties:
- raw total energy (eV for the cell shown) = -112.01
- crystal system = trigonal
- energy relative to the elements, uncorrected (meV/atom) = -319
- M_tot (μB/f.u.) = 0.0

Cell: 10.9587 10.9587 10.9587 Å, 89.00 89.00 89.00°
Fractional positions:
In  0.0732  0.0732  0.0732
In  0.0782  0.3855  0.3517
In  0.1654  0.7544  0.3298
In  0.2456  0.8346  0.6702
In  0.3298  0.1654  0.7544
In  0.3517  0.0782  0.3855
In  0.3855  0.3517  0.0782
In  0.6145  0.9218  0.6483
In  0.6483  0.6145  0.9218
In  0.6702  0.2456  0.8346
In  0.7544  0.3298  0.1654
In  0.8346  0.6702  0.2456
In  0.9218  0.6483  0.6145
In  0.9268  0.9268  0.9268
Te  0.0000  0.4070  0.5930
Te  0.0603  0.7251  0.8204
Te  0.0708  0.5745  0.1669
Te  0.1669  0.0708  0.5745
Te  0.1796  0.2749  0.9397
Te  0.2749  0.9397  0.1796
Te  0.3314  0.6686  0.5000
Te  0.3373  0.3373  0.3373
Te  0.4070  0.5930  0.0000
Te  0.4255  0.9292  0.8331
Te  0.5000  0.3314  0.6686
Te  0.5745  0.1669  0.0708
Te  0.5930  0.0000  0.4070
Te  0.6627  0.6627  0.6627
Te  0.6686  0.5000  0.3314
Te  0.7251  0.8204  0.0603
Te  0.8204  0.0603  0.7251
Te  0.8331  0.4255  0.9292
Te  0.9292  0.8331  0.4255
Te  0.9397  0.1796  0.2749

***

Entry 3:
Entry from Alexandria: a relaxed PdW2C crystal (PBE-GGA).

Computed properties:
- raw total energy (eV for the cell shown) = -73.26
- crystal system = tetragonal
- M_tot (μB/f.u.) = 0.0
- Fermi-level density of states (states/eV per cell) = 3.24

Cell: 6.7157 6.7157 6.7157 Å, 137.59 137.59 61.53°
Fractional positions:
Pd  0.0000  0.0000  0.0000
Pd  0.7500  0.2500  0.5000
W  0.2287  0.6250  0.1037
W  0.3750  0.4787  0.6037
W  0.5213  0.1250  0.8963
W  0.8750  0.7713  0.3963
C  0.2500  0.7500  0.5000
C  0.5000  0.5000  0.0000